Density functional theory data (meta-GGA SCAN) for a crystal of LiAl5 relaxed with PBEsol.

Properties
- Total moment: 0.000 μB/atom
- ΔE to the lowest computed polymorph: 0.03 eV/f.u.
- Energy of formation from the pure elements: -32 meV per atom
- DOS at the Fermi energy: 0.298 states/eV/atom

Lattice parameters (Å, degrees): 2.8471 2.8471 12.0593 90.00 90.00 90.00
Positions (direct):
Al 0.5000 0.5000 0.3360
Al 0.0000 0.0000 0.1719
Al 0.0000 0.0000 0.5000
Al 0.5000 0.5000 0.6640
Al 0.0000 0.0000 0.8281
Li 0.5000 0.5000 0.0000

Density functional theory data (meta-GGA SCAN) for a crystal of Zr2TlCd relaxed with PBEsol.

Properties
- Total moment: 0.000 μB/atom
- Energy of formation from the pure elements: -189 meV per atom
- DOS at the Fermi energy: 0.513 states/eV/atom

Lattice parameters (Å, degrees): 3.6848 3.6848 6.2646 90.00 90.00 90.00
Positions (direct):
Cd 0.5000 0.5000 0.0000
Zr 0.0000 0.0000 0.7524
Zr 0.0000 0.0000 0.2476
Tl 0.5000 0.5000 0.5000

Density functional theory data (meta-GGA SCAN) for a crystal of NaB10Pb4Cl2O19 relaxed with PBEsol.

Properties
- ΔE_f (raw): -2.243 eV/atom
- Total moment: 0.030 μB/atom
- DOS at the Fermi energy: 0.000 states/eV/atom

Lattice parameters (Å, degrees): 6.6042 11.5059 11.5036 90.00 90.00 90.26
Last column: magnetic moment on the atom in μB.
Positions (direct):
B 0.8055 0.3354 0.9578  0.00
B 0.0121 0.5097 0.4800  0.00
B 0.4678 0.7829 0.5723  0.00
B 0.0315 0.5023 0.0100  0.00
B 0.9793 0.7247 0.0666  0.00
B 0.2946 0.1737 0.4559  0.00
B 0.7946 0.6737 0.5441  0.00
B 0.1933 0.2471 0.2576  0.00
B 0.1580 0.2949 0.0383  0.00
B 0.5121 0.0097 0.5200  0.00
B 0.1936 0.7649 0.2405  0.00
B 0.1469 0.7173 0.4601  0.00
B 0.6933 0.7471 0.7424  0.00
B 0.6580 0.7949 0.9617  0.00
B 0.6469 0.2173 0.5399  0.00
B 0.4793 0.2247 0.9334  0.00
B 0.3055 0.8354 0.0422  0.00
B 0.5315 0.0023 0.9900  0.00
B 0.6936 0.2649 0.7595  0.00
B 0.9678 0.2829 0.4277  0.00
O 0.0156 0.7232 0.1963  0.00
O 0.9383 0.2694 0.0353  0.00
O 0.0747 0.6173 0.0199  0.00
O 0.7527 0.7541 0.8548  0.01
O 0.5084 0.7829 0.7016  0.00
O 0.2527 0.2541 0.1452  0.01
O 0.1850 0.4242 0.0303  0.00
O 0.2512 0.7650 0.5616  0.00
O 0.7374 0.2721 0.6438  0.00
O 0.4269 0.2427 0.5335  0.00
O 0.4383 0.7694 0.9647  0.00
O 0.3430 0.8069 0.1667  0.00
O 0.6850 0.9242 0.9697  0.00
O 0.1646 0.5878 0.4499  0.00
O 0.7046 0.9423 0.3306  0.65
O 0.6646 0.0878 0.5501  0.00
O 0.5825 0.6903 0.5153  0.00
O 0.0922 0.8212 0.0118  0.00
O 0.0558 0.3950 0.4669  0.04
O 0.8348 0.5478 0.5280  0.00
O 0.5558 0.8950 0.5331  0.04
O 0.0084 0.2829 0.2984  0.00
O 0.3465 0.9630 0.0295  0.00
O 0.5156 0.2232 0.8037  0.00
O 0.7608 0.7344 0.0571  0.00
O 0.5922 0.3212 0.9882  0.00
O 0.8362 0.7003 0.6678  0.00
O 0.5747 0.1173 0.9801  0.00
O 0.3362 0.2003 0.3322  0.00
O 0.2374 0.7721 0.3562  0.00
O 0.8465 0.4630 0.9705  0.00
O 0.0825 0.1903 0.4847  0.00
O 0.9269 0.7427 0.4665  0.00
O 0.2608 0.2344 0.9429  0.00
O 0.2046 0.4423 0.6694  0.65
O 0.3348 0.0478 0.4720  0.00
O 0.7512 0.2650 0.4384  0.00
O 0.8430 0.3069 0.8333  0.00
Cl 0.1048 0.9708 0.7431  0.01
Cl 0.4703 0.5195 0.7823  0.18
Cl 0.9703 0.0195 0.2177  0.18
Cl 0.6048 0.4708 0.2569  0.01
Na 0.3788 0.9921 0.2699  0.00
Na 0.8788 0.4921 0.7301  0.00
Pb 0.6813 0.7479 0.2915  0.00
Pb 0.9456 0.9674 0.4869  -0.01
Pb 0.5029 0.5394 0.0253  0.01
Pb 0.1813 0.2479 0.7085  0.00
Pb 0.4456 0.4674 0.5131  -0.01
Pb 0.6845 0.2411 0.2112  0.00
Pb 0.1845 0.7411 0.7888  0.00
Pb 0.0029 0.0394 0.9747  0.01

Density functional theory data (meta-GGA SCAN) for a crystal of GaGeSb2I relaxed with PBEsol.

Properties
- ΔE_f (raw): 0.602 eV/atom
- Total moment: 0.161 μB/atom
- DOS at the Fermi energy: 0.664 states/eV/atom

Lattice parameters (Å, degrees): 5.3055 5.3055 5.7141 90.00 90.00 90.00
Last column: magnetic moment on the atom in μB.
Positions (direct):
Ge 0.0000 0.0000 0.0000  -0.01
Sb 0.0000 0.5000 0.0000  0.15
Sb 0.5000 0.0000 0.0000  0.15
Ga 0.5000 0.5000 0.5000  0.00
I 0.0000 0.0000 0.5000  0.08